SrZn11 | meta-GGA SCAN | PBEsol geometry

Properties
Calculated formation energy   -0.22 eV per atom
Total energy   -14.470 eV per atom

abc: 6.7495 8.1754 8.1754
angles: 80.19 65.62 65.62
Last column: nearest neighbours and their distance in Å.
Fractional coordinates of all 24 atoms:
Sr: 0.7500 0.5000 0.5000  22 Zn 3.26-3.65
Sr: 0.0000 0.0000 0.0000  22 Zn 3.26-3.65
Zn: 0.2500 0.5000 0.5000  12 Zn 2.76-2.85
Zn: 0.5000 0.0000 0.0000  12 Zn 2.76-2.85
Zn: 0.3750 0.2500 0.7500  10 Zn 2.55-2.76
Zn: 0.3750 0.7500 0.2500  10 Zn 2.55-2.76
Zn: 0.8750 0.7500 0.7500  10 Zn 2.55-2.76
Zn: 0.3750 0.2500 0.2500  10 Zn 2.55-2.76
Zn: 0.9330 0.4158 0.8288  9 Zn 2.55-2.85
Zn: 0.1777 0.5842 0.1712  9 Zn 2.55-2.85
Zn: 0.5119 0.6712 0.9158  9 Zn 2.55-2.85
Zn: 0.0988 0.3288 0.0842  9 Zn 2.55-2.85
Zn: 0.8170 0.6712 0.0842  9 Zn 2.55-2.85
Zn: 0.5723 0.3288 0.9158  9 Zn 2.55-2.85
Zn: 0.2381 0.5842 0.8288  9 Zn 2.55-2.85
Zn: 0.6512 0.4158 0.1712  9 Zn 2.55-2.85
Zn: 0.8170 0.0842 0.6712  9 Zn 2.55-2.85
Zn: 0.5723 0.9158 0.3288  9 Zn 2.55-2.85
Zn: 0.2381 0.8288 0.5842  9 Zn 2.55-2.85
Zn: 0.6512 0.1712 0.4158  9 Zn 2.55-2.85
Zn: 0.9330 0.8288 0.4158  9 Zn 2.55-2.85
Zn: 0.1777 0.1712 0.5842  9 Zn 2.55-2.85
Zn: 0.5119 0.9158 0.6712  9 Zn 2.55-2.85
Zn: 0.0988 0.0842 0.3288  9 Zn 2.55-2.85

---

SrZn2 | meta-GGA SCAN | PBEsol geometry

Properties
Calculated formation energy   -0.28 eV per atom
Total energy   -16.717 eV per atom

abc: 4.6880 5.8562 5.8562
angles: 81.02 66.41 66.41
Last column: nearest neighbours and their distance in Å.
Fractional coordinates of all 6 atoms:
Sr: 0.0559 0.6941 0.1941  12 Zn 3.18-3.48
Sr: 0.9441 0.3059 0.8059  12 Zn 3.18-3.48
Zn: 0.3370 0.7338 0.5922  4 Zn 2.69-2.73
Zn: 0.3370 0.0922 0.2338  4 Zn 2.69-2.73
Zn: 0.6630 0.9078 0.7662  4 Zn 2.69-2.73
Zn: 0.6630 0.2662 0.4078  4 Zn 2.69-2.73

---

SrZn2 | meta-GGA SCAN | PBEsol geometry

Properties
Calculated formation energy   -0.29 eV per atom
Total energy   -16.722 eV per atom

abc: 4.3173 4.3173 8.3901
angles: 104.93 104.93 90.01
Last column: nearest neighbours and their distance in Å.
Fractional coordinates of all 6 atoms:
Sr: 0.2500 0.7500 0.5000  12 Zn 3.31-3.39
Sr: 0.0000 0.0000 0.0000  12 Zn 3.31-3.39
Zn: 0.8326 0.3327 0.6653  3 Zn 2.53-2.58
Zn: 0.4174 0.4173 0.8347  3 Zn 2.53-2.58
Zn: 0.6673 0.1674 0.3347  3 Zn 2.53-2.58
Zn: 0.5827 0.5826 0.1653  3 Zn 2.53-2.58

---

SrZn | meta-GGA SCAN | PBEsol geometry

Properties
Calculated formation energy   -0.24 eV per atom
Total energy   -18.132 eV per atom

abc: 4.5377 6.1705 8.5842
angles: 90.00 90.00 90.00
Last column: nearest neighbours and their distance in Å.
Fractional coordinates of all 8 atoms:
Sr: 0.7500 0.8889 0.1783  7 Zn 3.23-3.45
Sr: 0.2500 0.3889 0.3217  7 Zn 3.23-3.45
Sr: 0.2500 0.1111 0.8217  7 Zn 3.23-3.45
Sr: 0.7500 0.6111 0.6783  7 Zn 3.23-3.45
Zn: 0.7500 0.4066 0.0252  2 Zn 2.58
Zn: 0.2500 0.9066 0.4748  2 Zn 2.58
Zn: 0.2500 0.5934 0.9748  2 Zn 2.58
Zn: 0.7500 0.0934 0.5252  2 Zn 2.58

---

SrZn | meta-GGA SCAN | PBEsol geometry

Properties
Calculated formation energy   -0.15 eV per atom
Total energy   -18.042 eV per atom

abc: 7.1930 9.6572 10.4515
angles: 90.00 90.00 90.00
Last column: nearest neighbours and their distance in Å.
Fractional coordinates of all 24 atoms:
Sr: 0.7500 0.8688 0.2179  5 Zn 3.24-3.51
Sr: 0.2500 0.1312 0.7821  5 Zn 3.24-3.51
Sr: 0.7500 0.3688 0.7821  5 Zn 3.24-3.51
Sr: 0.2500 0.6312 0.2179  5 Zn 3.24-3.51
Sr: 0.7500 0.4884 0.3806  7 Zn 3.13-3.29
Sr: 0.2500 0.5116 0.6194  7 Zn 3.13-3.29
Sr: 0.7500 0.9884 0.6194  7 Zn 3.13-3.29
Sr: 0.2500 0.0116 0.3806  7 Zn 3.13-3.29
Sr: 0.0000 0.2500 0.1143  6 Zn 3.31-3.38, 2 Sr 3.60
Sr: 0.5000 0.7500 0.8857  6 Zn 3.31-3.38, 2 Sr 3.60
Sr: 0.0000 0.7500 0.8857  6 Zn 3.31-3.38, 2 Sr 3.60
Sr: 0.5000 0.2500 0.1143  6 Zn 3.31-3.38, 2 Sr 3.60
Zn: 0.7500 0.5429 0.0702  7 Sr 3.29-3.51
Zn: 0.2500 0.4571 0.9298  7 Sr 3.29-3.51
Zn: 0.7500 0.0429 0.9298  7 Sr 3.29-3.51
Zn: 0.2500 0.9571 0.0702  7 Sr 3.29-3.51
Zn: 0.7500 0.1628 0.3671  2 Zn 2.58
Zn: 0.2500 0.8372 0.6329  2 Zn 2.58
Zn: 0.7500 0.6628 0.6329  2 Zn 2.58
Zn: 0.2500 0.3372 0.3671  2 Zn 2.58
Zn: 0.0000 0.2500 0.5253  2 Zn 2.58
Zn: 0.5000 0.7500 0.4747  2 Zn 2.58
Zn: 0.0000 0.7500 0.4747  2 Zn 2.58
Zn: 0.5000 0.2500 0.5253  2 Zn 2.58

---

Sr3Zn | meta-GGA SCAN | PBEsol geometry

Properties
Calculated formation energy   -0.04 eV per atom
Total energy   -20.121 eV per atom

abc: 4.0350 6.0956 7.4242
angles: 114.24 105.77 90.00
Last column: nearest neighbours and their distance in Å.
Fractional coordinates of all 4 atoms:
Sr: 0.6926 0.6926 0.3852  2 Zn 3.20
Sr: 0.3074 0.3074 0.6148  2 Zn 3.20
Sr: 0.5000 0.0000 0.0000  4 Zn 3.66, 6 Sr 3.93-4.04
Zn: 0.0000 0.5000 0.0000  4 Sr 3.20

---

SrZr3Zn | meta-GGA SCAN | PBEsol geometry

Properties
Calculated formation energy   1.96 eV per atom
Total energy   -23.613 eV per atom

abc: 5.0127 5.0127 5.0127
angles: 90.00 90.00 90.00
Last column: nearest neighbours and their distance in Å.
Fractional coordinates of all 5 atoms:
Sr: 0.0000 0.0000 0.0000  6 Zr 2.51
Zn: 0.5000 0.5000 0.5000  12 Zr 3.54
Zr: 0.0000 0.5000 0.0000  2 Sr 2.51
Zr: 0.0000 0.0000 0.5000  2 Sr 2.51
Zr: 0.5000 0.0000 0.0000  2 Sr 2.51

---

Sr2Zr | meta-GGA SCAN | PBEsol geometry

Properties
Calculated formation energy   0.58 eV per atom
Total energy   -24.503 eV per atom
Offset from the most stable computed form   8 meV/atom

abc: 3.5436 3.5436 17.3109
angles: 95.87 95.87 90.00
Last column: nearest neighbours and their distance in Å.
Fractional coordinates of all 6 atoms:
Sr: 0.8228 0.3228 0.6457  4 Zr 3.54, 4 Sr 3.54
Sr: 0.4272 0.4272 0.8543  4 Zr 3.54, 4 Sr 3.54
Sr: 0.6772 0.1772 0.3543  4 Zr 3.54, 4 Sr 3.54
Sr: 0.5728 0.5728 0.1457  4 Zr 3.54, 4 Sr 3.54
Zr: 0.2500 0.7500 0.5000  8 Sr 3.54, 4 Zr 3.54
Zr: 0.0000 0.0000 0.0000  8 Sr 3.54, 4 Zr 3.54

---

SrZr | meta-GGA SCAN | PBEsol geometry

Properties
Calculated formation energy   0.61 eV per atom
Total energy   -25.878 eV per atom
Offset from the most stable computed form   237 meV/atom

abc: 4.7157 6.0051 6.0051
angles: 60.82 66.88 66.88
Last column: nearest neighbours and their distance in Å.
Fractional coordinates of all 4 atoms:
Sr: 0.0964 0.6536 0.1536  9 Zr 3.52-3.94, 4 Sr 3.52-3.69
Sr: 0.9036 0.3464 0.8464  9 Zr 3.52-3.94, 4 Sr 3.52-3.69
Zr: 0.6864 0.0636 0.5636  2 Zr 2.63
Zr: 0.3136 0.9364 0.4364  2 Zr 2.63

---

SrZr2 | meta-GGA SCAN | PBEsol geometry

Properties
Calculated formation energy   0.63 eV per atom
Total energy   -27.265 eV per atom
Offset from the most stable computed form   124 meV/atom

abc: 2.9722 5.5113 5.5113
angles: 120.00 90.00 90.00
Last column: nearest neighbours and their distance in Å.
Fractional coordinates of all 3 atoms:
Sr: 0.0000 0.0000 0.0000  2 Sr 2.97, 6 Zr 3.29
Zr: 0.2797 0.6667 0.3333  2 Zr 2.97, 3 Sr 3.29
Zr: 0.7203 0.3333 0.6667  2 Zr 2.97, 3 Sr 3.29

---

SrZr2 | meta-GGA SCAN | PBEsol geometry

Properties
Calculated formation energy   0.50 eV per atom
Total energy   -27.389 eV per atom
Offset from the most stable computed form   0 meV/atom

abc: 3.7673 3.7673 6.6484
angles: 106.46 106.46 90.00
Last column: nearest neighbours and their distance in Å.
Fractional coordinates of all 3 atoms:
Sr: 0.0000 0.0000 0.0000  10 Zr 3.56-3.67, 4 Sr 3.77
Zr: 0.7076 0.7076 0.4151  4 Zr 2.86
Zr: 0.2924 0.2924 0.5849  4 Zr 2.86

---

SrZr3 | meta-GGA SCAN | PBEsol geometry

Properties
Calculated formation energy   0.30 eV per atom
Total energy   -28.289 eV per atom

abc: 3.2338 3.2323 10.1249
angles: 90.00 90.00 90.00
Last column: nearest neighbours and their distance in Å.
Fractional coordinates of all 4 atoms:
Sr: 0.0000 0.0000 0.0000  4 Sr 3.23
Zr: 0.5000 0.5000 0.7060  8 Zr 3.09-3.23
Zr: 0.0000 0.0000 0.5000  12 Zr 3.09-3.23
Zr: 0.5000 0.5000 0.2940  8 Zr 3.09-3.23

---

Which value of calculated formation energy does entry 4 give?
-0.24 eV per atom

---

Which of these has the lowest calculated formation energy?
number 3

---

Among the records above, which one has the lowest calculated formation energy?
number 3

---

The highest calculated formation energy belongs to which entry?
SrZr3Zn